Here is a relaxed Cs2NaZnCl4 crystal from the Alexandria database. Energies are from PBE-GGA.

Total moment = 1.83 μB per cell
Uncorrected formation energy = -1.41 eV/atom
E = -2.871 eV per atom
Symmetry = No. 70

Cell: 6.0878 8.0991 13.0468 Å, 84.97 76.51 67.92°
Each line ends with the local moment (μB).
Positions (direct):
Cs (0.1780, 0.0000, 0.6441)  0.00
Cs (0.8220, 0.0000, 0.3559)  0.00
Cs (0.5720, 0.5000, 0.8559)  0.00
Cs (0.9280, 0.5000, 0.1441)  0.00
Na (0.7500, 0.5000, 0.5000)  0.00
Na (0.0000, 0.0000, 0.0000)  0.00
Zn (0.2500, 0.5000, 0.5000)  0.29
Zn (0.5000, 0.0000, 0.0000)  0.29
Cl (0.3032, 0.7757, 0.1084)  0.07
Cl (0.1873, 0.2243, 0.8916)  0.07
Cl (0.9211, 0.7757, 0.8916)  0.07
Cl (0.5884, 0.2243, 0.1084)  0.07
Cl (0.4468, 0.7243, 0.3916)  0.07
Cl (0.5627, 0.2757, 0.6084)  0.07
Cl (0.8289, 0.7243, 0.6084)  0.07
Cl (0.1616, 0.2757, 0.3916)  0.07